# PrPaCr2O8, optimized geometry, DFT GGA+U
# Calculated total energy   -198.31 eV for the cell shown
# Crystal system   tetragonal
# Spin magnetization   8.0 μB/cell
# V   344.4 Å³ per cell
data_PrPaCr2O8
_chemical_formula_sum 'Pr2 Pa2 Cr4 O16'
_symmetry_space_group_name_H-M 'I -4 m 2'
_symmetry_Int_Tables_number 119
_symmetry_space_group_name_Hall 'I -4 -2'
_cell_length_a 7.266
_cell_length_b 7.266
_cell_length_c 6.523
_cell_angle_alpha 90.00
_cell_angle_beta 90.00
_cell_angle_gamma 90.00
loop_
_atom_site_label
_atom_site_fract_x
_atom_site_fract_y
_atom_site_fract_z
Pr1 0.000 0.000 0.000
Pa1 0.000 0.500 0.250
Cr1 0.000 0.000 0.500
Cr2 0.000 0.500 0.750
O1 0.000 0.191 0.324
O2 0.000 0.327 0.945